No. 1
# KNi12P6

A geometry-optimized KNi12P6 structure (PBE, Alexandria via LeMat-Bulk).

- Space group: R-3m, No. 166
- Crystal system: trigonal
- VASP energy: -5.859 eV/atom
- Mass density: 6177 kg/m3
- Calculated formation energy: -0.44 eV per atom
- Magnetization: 0.00 μB per cell
- D(E_F): 8.4 states/eV/f.u.

The structure in POSCAR format:
```
KNi12P6
1.0
5.150 2.973 2.719
-5.150 2.973 2.719
0.000 -5.946 2.719
K Ni P
1 12 6
Direct
0.000 0.000 0.000
0.132 0.500 0.868
0.132 0.868 0.500
0.182 0.467 0.467
0.467 0.182 0.467
0.467 0.467 0.182
0.500 0.132 0.868
0.500 0.868 0.132
0.533 0.533 0.818
0.533 0.818 0.533
0.818 0.533 0.533
0.868 0.132 0.500
0.868 0.500 0.132
0.232 0.232 0.659
0.232 0.659 0.232
0.341 0.768 0.768
0.659 0.232 0.232
0.768 0.341 0.768
0.768 0.768 0.341
```


No. 2
# Hf2Zr2Ge

A geometry-optimized Hf2Zr2Ge structure (PBE, Alexandria via LeMat-Bulk).

- Space group: P4/mmm, No. 123
- Crystal system: tetragonal
- VASP energy: -7.081 eV/atom
- Mass density: 7588 kg/m3
- Offset from the most stable computed form: 1261 meV/atom
- Calculated formation energy: 1.24 eV per atom
- Magnetization: 0.00 μB per cell
- D(E_F): 7.2 states/eV/f.u.

The structure in POSCAR format:
```
Hf2Zr2Ge
1.0
5.122 0.000 0.000
0.000 5.122 0.000
0.000 0.000 5.105
Hf Zr Ge
2 2 1
Direct
0.000 0.500 0.000
0.500 0.000 0.000
0.000 0.000 0.000
0.000 0.000 0.500
0.500 0.500 0.500
```